Record 1
Computed, not measured: a relaxed La2MnIrN crystal at the PBE-GGA level of DFT.

Cell lengths 5.1991, 5.1991, 3.6903 Å; angles 90.00, 90.00, 90.00 degrees
Atoms (fractional coordinates):
La (0.0000, 0.5000, 0.0000)
Ir (0.5000, 0.5000, 0.5000)
Mn (0.0000, 0.0000, 0.5000)
N (0.0000, 0.0000, 0.0000)
La (0.5000, 0.0000, 0.0000)

Summary:
Uncorrected formation energy (meV/atom): -652

---

Record 2
Computed, not measured: a relaxed NaLaMnIr2 crystal at the PBE-GGA level of DFT.

Cell lengths 5.0546, 5.4507, 5.0546 Å; angles 90.00, 90.00, 90.00 degrees
Atoms (fractional coordinates):
La (0.0000, 0.0000, 0.0000)
Ir (0.5000, 0.0000, 0.0000)
Mn (0.0000, 0.5000, 0.0000)
Na (0.5000, 0.5000, 0.5000)
Ir (0.0000, 0.0000, 0.5000)

Summary:
Energy of formation (eV/atom): 1.4062

---

no.,Fermi-level density of states (states/eV/cell),size of the total moment (Bohr magnetons per cell)
1,2.68,2.21
2,3.95,4.65